# meta-GGA SCAN CrRe2Mo, PBEsol geometry
data_CrRe2Mo
_chemical_formula_sum 'Cr2 Re4 Mo2'
_cell_length_a 3.041
_cell_length_b 4.300
_cell_length_c 8.548
_cell_angle_alpha 90.00
_cell_angle_beta 90.00
_cell_angle_gamma 90.00
_space_group_name_H-M_alt 'I m m 2'
_space_group_IT_number 44
_space_group_name_Hall 'I 2 -2'
loop_
_atom_site_label
_atom_site_type_symbol
_atom_site_fract_x
_atom_site_fract_y
_atom_site_fract_z
Cr1 Cr 0.000 0.000 0.000
Re1 Re 0.000 0.000 0.490
Re2 Re 0.000 0.500 0.253
Mo1 Mo 0.000 0.500 0.733
# formation energy: 0.03 eV per atom
# raw total energy: -48.832 eV per atom
# mass density: 15459 kg/m3
# relative energy among the computed polymorphs: 6 meV per atom
# V: 13.974 Å³ per atom
# magnetization: 0.00 Bohr magnetons per cell